6
Lattice="-0.4820 -2.8307 0.4900 1.6720 0.8268 -2.2374 9.6951 -0.4237 7.0886" Properties=species:S:1:pos:R:3 comment="IrRuS (GGA-PBE, optimized geometry)" raw_formation_energy_kj_per_mol_fu=11 crystal_system=hexagonal n_ef_per_ev_atom=1.19 total_magnetization_mub_per_atom=0.00 pbc="T T T"
Ir -0.0825 -1.4805 0.0243
Ir 4.7659 -1.6927 3.5674
Ru 2.4195 -0.3395 0.4186
Ru 8.5475 -0.6073 4.8991
S 2.9573 -1.6136 2.2457
S 6.5739 -1.7716 4.8900

---

10
Lattice="4.2552 0.0000 0.0000 0.0000 4.2552 0.0000 0.0000 0.0000 10.8569" Properties=species:S:1:pos:R:3 comment="Ce2MgGe4Pd3 (GGA-PBE, optimized geometry)" crystal_system=tetragonal n_ef_per_ev_atom=1.19 total_magnetization_mub_per_atom=0.10 formation_energy_ev_per_atom=-0.7300 pbc="T T T"
Ce 2.1276 0.0000 2.6147
Ce 0.0000 2.1276 8.2421
Pd 0.0000 2.1276 1.3744
Pd 2.1276 0.0000 9.4825
Pd 0.0000 0.0000 5.4284
Ge 2.1276 0.0000 7.0230
Ge 2.1276 2.1276 0.0000
Ge 0.0000 0.0000 0.0000
Ge 0.0000 2.1276 3.8338
Mg 2.1276 2.1276 5.4284